(1)
! ReTeP2 PBE optimized geometry; values from VASP
! Symmetry   No. 47
! Density of states at the Fermi level   0.648 states/eV/atom
! V   67.44 Å³/f.u.
! Formation energy from raw total energies   950 meV per atom
! Total energy   -22.6 eV for the cell shown
&SYSTEM
  ibrav = 0, nat = 4, ntyp = 3
/
ATOMIC_SPECIES
Re 186.21 Re.upf
Te 127.60 Te.upf
P 30.97 P.upf
ATOMIC_POSITIONS crystal
Re 0.500 0.000 0.500
Te 0.000 0.500 0.500
P 0.500 0.500 0.000
P 0.000 0.000 0.000
CELL_PARAMETERS angstrom
3.177 0.000 0.000
0.000 4.886 0.000
0.000 0.000 4.345

***

(2)
! RbNdMoN3 PBE optimized geometry; values from VASP
! Symmetry   No. 12
! Density of states at the Fermi level   0.005 states/eV/atom
! V   111.24 Å³/f.u.
! Formation energy from raw total energies   -475 meV per atom
! Total energy   -88.8 eV for the cell shown
&SYSTEM
  ibrav = 0, nat = 12, ntyp = 4
/
ATOMIC_SPECIES
N 14.01 N.upf
Rb 85.47 Rb.upf
Nd 144.24 Nd.upf
Mo 95.94 Mo.upf
ATOMIC_POSITIONS crystal
N 0.843 0.687 0.634
N 0.871 0.742 0.221
N 0.513 0.026 0.353
N 0.129 0.258 0.779
N 0.487 0.974 0.647
N 0.157 0.313 0.366
Rb 0.358 0.715 0.932
Rb 0.642 0.285 0.068
Nd 0.662 0.325 0.589
Nd 0.338 0.675 0.411
Mo 0.992 0.984 0.669
Mo 0.008 0.016 0.331
CELL_PARAMETERS angstrom
3.939 0.000 0.000
-1.970 6.975 -0.040
0.000 -2.095 8.109

***

(3)
! Ti3Si PBE optimized geometry; values from VASP
! Symmetry   No. 194
! Density of states at the Fermi level   0.735 states/eV/atom
! V   62.16 Å³/f.u.
! Formation energy from raw total energies   -462 meV per atom
! Total energy   -61.9 eV for the cell shown
&SYSTEM
  ibrav = 0, nat = 8, ntyp = 2
/
ATOMIC_SPECIES
Si 28.09 Si.upf
Ti 47.87 Ti.upf
ATOMIC_POSITIONS crystal
Si 0.250 0.333 0.333
Si 0.750 0.667 0.667
Ti 0.250 0.343 0.829
Ti 0.250 0.829 0.829
Ti 0.250 0.829 0.343
Ti 0.750 0.171 0.171
Ti 0.750 0.657 0.171
Ti 0.750 0.171 0.657
CELL_PARAMETERS angstrom
-2.005 -3.866 1.176
1.648 0.770 5.340
-3.313 2.812 3.597

***

(4)
! SrGe2 PBE optimized geometry; values from VASP
! Symmetry   No. 62
! Formation energy   -491 meV/atom
! V   81.98 Å³/f.u.
! Total energy   -99.1 eV for the cell shown
&SYSTEM
  ibrav = 0, nat = 24, ntyp = 2
/
ATOMIC_SPECIES
Sr 87.62 Sr.upf
Ge 72.64 Ge.upf
ATOMIC_POSITIONS crystal
Sr 0.250 0.516 0.806
Sr 0.250 0.016 0.694
Sr 0.750 0.149 0.906
Sr 0.250 0.851 0.094
Sr 0.750 0.984 0.306
Sr 0.250 0.351 0.406
Sr 0.750 0.649 0.594
Sr 0.750 0.484 0.194
Ge 0.750 0.802 0.049
Ge 0.054 0.694 0.350
Ge 0.054 0.194 0.150
Ge 0.250 0.698 0.549
Ge 0.250 0.198 0.951
Ge 0.250 0.936 0.407
Ge 0.250 0.436 0.093
Ge 0.554 0.806 0.850
Ge 0.554 0.306 0.650
Ge 0.946 0.306 0.650
Ge 0.750 0.564 0.907
Ge 0.750 0.064 0.593
Ge 0.446 0.194 0.150
Ge 0.750 0.302 0.451
Ge 0.446 0.694 0.350
Ge 0.946 0.806 0.850
CELL_PARAMETERS angstrom
6.586 0.000 0.000
0.000 8.872 0.000
0.000 0.000 11.224